<one>
Material: CeSiO
Method: DFT, PBE
State: relaxed

Cell: 8.3059 8.3059 8.3059 Å, 27.39 27.39 27.39°
Element x y z (fractional)
Ce 0.1038 0.1038 0.1038
Ce 0.8962 0.8962 0.8962
Si 0.3473 0.3473 0.3473
Si 0.6527 0.6527 0.6527
O 0.2014 0.2014 0.2014
O 0.7986 0.7986 0.7986

Output
Volume ... 107 Å³/cell
Space-group type ... No. 166
D(E_F) ... 8.54 states/eV per cell

=====

<two>
Material: CeSiO
Method: DFT, PBE
State: relaxed

Cell: 3.3711 3.3711 8.6652 Å, 90.00 90.00 90.00°
Element x y z (fractional)
Ce 0.2500 0.2500 0.1770
Ce 0.7500 0.7500 0.8230
Si 0.2500 0.2500 0.5416
Si 0.7500 0.7500 0.4584
O 0.2500 0.2500 0.9041
O 0.7500 0.7500 0.0959

Output
Volume ... 98 Å³/cell
Space-group type ... No. 129
D(E_F) ... 9.17 states/eV per cell

=====

It is <two> that is the least stable of them.

=====

<one>
Material: CeSm2O
Method: DFT, PBE
State: relaxed

Cell: 3.1883 3.1883 8.8121 Å, 90.00 90.00 90.00°
Element x y z (fractional)
Ce 0.0000 0.0000 0.0000
Sm 0.5000 0.5000 0.3232
Sm 0.5000 0.5000 0.6768
O 0.0000 0.0000 0.5000

Output
Volume ... 90 Å³/cell
Space-group type ... No. 123
D(E_F) ... 6.68 states/eV per cell

=====

<two>
Material: CeSm2O
Method: DFT, PBE
State: relaxed

Cell: 3.4869 3.4869 28.5138 Å, 90.00 90.00 120.00°
Element x y z (fractional)
Ce 0.0000 0.0000 0.0000
Ce 0.3333 0.6667 0.6667
Ce 0.6667 0.3333 0.3333
Sm 0.0000 0.0000 0.1173
Sm 0.0000 0.0000 0.8827
Sm 0.3333 0.6667 0.5493
Sm 0.3333 0.6667 0.7840
Sm 0.6667 0.3333 0.2160
Sm 0.6667 0.3333 0.4507
O 0.0000 0.0000 0.5000
O 0.3333 0.6667 0.1667
O 0.6667 0.3333 0.8333

Output
Volume ... 300 Å³/cell
Space-group type ... No. 166
D(E_F) ... 20.21 states/eV per cell

=====

It is <one> that is the least stable of them.

=====

<one>
Material: CeSnO
Method: DFT, PBE
State: relaxed

Cell: 3.4625 12.3716 6.3730 Å, 90.00 90.00 90.00°
Element x y z (fractional)
Ce 0.0000 0.0000 0.0000
Ce 0.0000 0.0000 0.5000
Ce 0.5000 0.5000 0.0000
Ce 0.5000 0.5000 0.5000
Sn 0.0000 0.2537 0.2500
Sn 0.0000 0.7463 0.7500
Sn 0.5000 0.2463 0.7500
Sn 0.5000 0.7537 0.2500
O 0.0000 0.4926 0.7500
O 0.0000 0.5074 0.2500
O 0.5000 0.0074 0.2500
O 0.5000 0.9926 0.7500

Output
Volume ... 273 Å³/cell
Space-group type ... No. 63
D(E_F) ... 20.56 states/eV per cell

=====

<two>
Material: CeSnO
Method: DFT, PBE
State: relaxed

Cell: 4.0487 4.0487 8.0063 Å, 90.00 90.00 90.00°
Element x y z (fractional)
Ce 0.2500 0.2500 0.1471
Ce 0.7500 0.7500 0.8529
Sn 0.2500 0.2500 0.5750
Sn 0.7500 0.7500 0.4250
O 0.2500 0.7500 0.0000
O 0.7500 0.2500 0.0000

Output
Volume ... 131 Å³/cell
Space-group type ... No. 129
D(E_F) ... 11.95 states/eV per cell

=====

It is <one> that is the least stable of them.

=====

<one>
Material: CeSnO4
Method: DFT, PBE
State: relaxed

Cell: 6.6108 6.6108 6.6108 Å, 32.82 32.82 32.82°
Element x y z (fractional)
Ce 0.0000 0.0000 0.0000
Sn 0.5000 0.5000 0.5000
O 0.1297 0.1297 0.1297
O 0.3796 0.3796 0.3796
O 0.6204 0.6204 0.6204
O 0.8703 0.8703 0.8703

Output
Volume ... 75 Å³/cell
Space-group type ... No. 166
D(E_F) ... 0.00 states/eV per cell

=====

<two>
Material: CeSnO4
Method: DFT, PBE
State: relaxed

Cell: 6.5175 6.5175 6.5175 Å, 131.68 131.68 70.74°
Element x y z (fractional)
Ce 0.3750 0.6250 0.7500
Ce 0.6250 0.3750 0.2500
Sn 0.1250 0.8750 0.2500
Sn 0.8750 0.1250 0.7500
O 0.0000 0.2352 0.2352
O 0.0000 0.7648 0.7648
O 0.2352 0.0000 0.7352
O 0.2352 0.5000 0.2352
O 0.5000 0.2352 0.7352
O 0.5000 0.7648 0.2648
O 0.7648 0.0000 0.2648
O 0.7648 0.5000 0.7648

Output
Volume ... 151 Å³/cell
Space-group type ... No. 141

=====

It is <two> that is the least stable of them.